Entry 1:
First-principles (PBE) data for an optimized crystal structure of YV2Sn, as listed in Alexandria.

Results
Crystal system   tetragonal
Total energy   -0.476 Ry/atom

POSCAR file:
```
YV2Sn
1.0
-3.867 3.867 2.890
3.867 -3.867 2.890
3.867 3.867 -2.890
Y V Sn
2 4 2
direct
0.000 0.000 0.000 Y
0.750 0.250 0.500 Y
0.154 0.125 0.529 V
0.375 0.846 0.971 V
0.596 0.625 0.471 V
0.875 0.404 0.029 V
0.250 0.750 0.500 Sn
0.500 0.500 0.000 Sn
```

---

Entry 2:
First-principles (PBE) data for an optimized crystal structure of LaTb2AlPd4, as listed in Alexandria.

Results
Crystal system   trigonal
Total energy   -0.415 Ry/atom

POSCAR file:
```
LaTb2AlPd4
1.0
2.418 1.396 8.349
-2.418 1.396 8.349
0.000 -2.792 8.349
La Tb Al Pd
1 2 1 4
direct
0.000 0.000 0.000 La
0.242 0.242 0.242 Tb
0.758 0.758 0.758 Tb
0.500 0.500 0.500 Al
0.130 0.130 0.130 Pd
0.395 0.395 0.395 Pd
0.605 0.605 0.605 Pd
0.870 0.870 0.870 Pd
```

---

Entry 3:
First-principles (PBE) data for an optimized crystal structure of TaAs2Pt, as listed in Alexandria.

Results
Crystal system   orthorhombic
Excess energy over the best structure of this formula in the dataset   0.4048 eV/atom
Total energy   -0.492 Ry/atom

POSCAR file:
```
TaAs2Pt
1.0
1.846 -2.435 0.000
1.846 2.435 0.000
0.000 0.000 7.721
Ta As Pt
1 2 1
direct
0.000 0.000 0.000 Ta
0.500 0.500 0.249 As
0.500 0.500 0.751 As
0.000 0.000 0.500 Pt
```